1.
## Nd4WN5 (PBE-GGA)

Data for a relaxed structure of Nd4WN5.

abc: 7.791 7.791 5.179
angles: 90.00 90.00 90.00
Space group I4 (No. 79)
Symmetry-distinct sites (fractional):
1 Nd 0.106 0.305 0.000
2 W 0.000 0.000 0.437
3 N 0.000 0.000 0.079
4 N 0.089 0.257 0.501

Raw total energy, eV/atom: -8.459
Volume, A^3/atom: 15.7
Calculated density, g/cm3: 8.778
Magnetization, μB per cell: 0.0
Uncorrected formation energy, kJ per mole of atoms: -106

2.
## LiYTmRe (PBE-GGA)

Data for a relaxed structure of LiYTmRe.

abc: 6.937 6.937 6.937
angles: 90.00 90.00 90.00
Space group F-43m (No. 216)
Symmetry-distinct sites (fractional):
1 Li 0.000 0.000 0.000
2 Y 0.250 0.250 0.250
3 Tm 0.250 0.250 0.750
4 Re 0.000 0.000 0.500

Raw total energy, eV/atom: -6.261
Volume, A^3/atom: 20.9
Calculated density, g/cm3: 8.972
Magnetization, μB per cell: 0.0
Energy of formation, eV per atom: 0.06

3.
## Ta3FeS6 (PBE-GGA)

Data for a relaxed structure of Ta3FeS6.

abc: 9.767 12.039 5.897
angles: 90.00 90.00 90.00
Space group Cmc2_1 (No. 36)
Symmetry-distinct sites (fractional):
1 Ta 0.000 0.103 0.000
2 Ta 0.150 0.385 0.090
3 Fe 0.000 0.285 0.729
4 S 0.000 0.267 0.323
5 S 0.000 0.466 0.785
6 S 0.167 0.029 0.295
7 S 0.188 0.216 0.861

Raw total energy, eV/atom: -7.564
Volume, A^3/atom: 17.3
Calculated density, g/cm3: 7.579
Magnetization, μB per cell: 3.8
Uncorrected formation energy, kJ per mole of atoms: -66
Relative energy among the computed polymorphs, eV per formula unit: 3.04

4.
## TmHfPa (PBE-GGA)

Data for a relaxed structure of TmHfPa.

abc: 9.0421 9.0421 3.2649
angles: 90.00 90.00 120.00
Space group P-62m (No. 189)
Symmetry-distinct sites (fractional):
1 Tm 0.0000 0.6423 0.0000
2 Hf 0.0000 0.0000 0.0000
3 Hf 0.3333 0.6667 0.5000
4 Pa 0.0000 0.3133 0.5000

Raw total energy, eV/atom: -7.786
Volume, A^3/atom: 25.7
Calculated density, g/cm3: 12.465
Magnetization, μB per cell: 0.0
Energy of formation, eV per atom: 0.19
Relative energy among the computed polymorphs, eV per formula unit: 0.13

5.
## LiYN (PBE-GGA)

Data for a relaxed structure of LiYN.

abc: 8.634 4.901 4.904
angles: 90.00 90.00 90.00
Space group Aem2 (No. 39)
Symmetry-distinct sites (fractional):
1 Li 0.000 0.000 0.000
2 Y 0.361 0.250 0.172
3 N 0.373 0.250 0.669

Raw total energy, eV/atom: -6.307
Volume, A^3/atom: 17.3
Calculated density, g/cm3: 3.516
Magnetization, μB per cell: 0.0
Uncorrected formation energy, kJ per mole of atoms: -71

6.
## ZrBeGe2 (PBE-GGA)

Data for a relaxed structure of ZrBeGe2.

abc: 6.892 6.892 5.612
angles: 90.00 90.00 90.00
Space group I-42d (No. 122)
Symmetry-distinct sites (fractional):
1 Zr 0.000 0.000 0.000
2 Be 0.000 0.000 0.500
3 Ge 0.193 0.250 0.625

Raw total energy, eV/atom: -5.495
Volume, A^3/atom: 16.7
Calculated density, g/cm3: 6.117
Magnetization, μB per cell: 0.0
Energy of formation, eV per atom: -0.12